VASP calculation (PBE) on a relaxed structure of TlHg2Te.

Geometry as extended XYZ:
```
4
Lattice="-0.5734 -1.8588 2.6308 4.5219 -3.8313 -1.7214 4.1134 3.3792 3.2843" Properties=species:S:1:pos:R:3 pbc="T T T"
Hg 2.4940 -2.4180 0.8697
Hg 0.5091 0.4182 0.4065
Te 2.5656 2.1076 2.0484
Tl 4.5499 -0.7291 2.5111
```

Electronic total energy = -1.5749 eV/atom
Energy relative to the elements, uncorrected = -0.047 eV per atom
Energy above the most stable polymorph in this dataset = 16 meV per atom
Space-group type = Pmm2 (25)